A geometry-optimized Sc3In5O12 structure. Source: the Alexandria database, functional PBE-GGA.

abc: 11.1027 11.1027 11.1027
angles: 109.47 109.47 109.47
Element x y z (fractional)
1 Sc 0.1250 0.2500 0.3750
2 Sc 0.1250 0.3750 0.7500
3 Sc 0.2500 0.3750 0.1250
4 Sc 0.2500 0.8750 0.6250
5 Sc 0.3750 0.1250 0.2500
6 Sc 0.3750 0.7500 0.1250
7 Sc 0.6250 0.2500 0.8750
8 Sc 0.6250 0.8750 0.7500
9 Sc 0.7500 0.1250 0.3750
10 Sc 0.7500 0.6250 0.8750
11 Sc 0.8750 0.6250 0.2500
12 Sc 0.8750 0.7500 0.6250
13 In 0.0000 0.0000 0.0000
14 In 0.0000 0.0000 0.5000
15 In 0.0000 0.5000 0.0000
16 In 0.0000 0.5000 0.5000
17 In 0.1250 0.7500 0.8750
18 In 0.1250 0.8750 0.2500
19 In 0.2500 0.1250 0.8750
20 In 0.2500 0.6250 0.3750
21 In 0.3750 0.2500 0.6250
22 In 0.3750 0.6250 0.7500
23 In 0.5000 0.0000 0.0000
24 In 0.5000 0.0000 0.5000
25 In 0.5000 0.5000 0.0000
26 In 0.5000 0.5000 0.5000
27 In 0.6250 0.3750 0.2500
28 In 0.6250 0.7500 0.3750
29 In 0.7500 0.3750 0.6250
30 In 0.7500 0.8750 0.1250
31 In 0.8750 0.1250 0.7500
32 In 0.8750 0.2500 0.1250
33 O 0.0511 0.2234 0.1357
34 O 0.0511 0.3278 0.9154
35 O 0.0846 0.6357 0.4124
36 O 0.0846 0.9489 0.6722
37 O 0.0876 0.7234 0.6722
38 O 0.0876 0.8643 0.4154
39 O 0.1357 0.0511 0.2234
40 O 0.1357 0.5846 0.9124
41 O 0.1722 0.2234 0.5876
42 O 0.1722 0.4489 0.5846
43 O 0.2234 0.1357 0.0511
44 O 0.2234 0.5876 0.1722
45 O 0.2766 0.3278 0.9124
46 O 0.2766 0.4489 0.3643
47 O 0.3278 0.9124 0.2766
48 O 0.3278 0.9154 0.0511
49 O 0.3643 0.2766 0.4489
50 O 0.3643 0.5876 0.9154
51 O 0.4124 0.0846 0.6357
52 O 0.4124 0.8278 0.7766
53 O 0.4154 0.0876 0.8643
54 O 0.4154 0.8278 0.5511
55 O 0.4489 0.3643 0.2766
56 O 0.4489 0.5846 0.1722
57 O 0.5511 0.4154 0.8278
58 O 0.5511 0.6357 0.7234
59 O 0.5846 0.1722 0.4489
60 O 0.5846 0.9124 0.1357
61 O 0.5876 0.1722 0.2234
62 O 0.5876 0.9154 0.3643
63 O 0.6357 0.4124 0.0846
64 O 0.6357 0.7234 0.5511
65 O 0.6722 0.0846 0.9489
66 O 0.6722 0.0876 0.7234
67 O 0.7234 0.5511 0.6357
68 O 0.7234 0.6722 0.0876
69 O 0.7766 0.4124 0.8278
70 O 0.7766 0.8643 0.9489
71 O 0.8278 0.5511 0.4154
72 O 0.8278 0.7766 0.4124
73 O 0.8643 0.4154 0.0876
74 O 0.8643 0.9489 0.7766
75 O 0.9124 0.1357 0.5846
76 O 0.9124 0.2766 0.3278
77 O 0.9154 0.0511 0.3278
78 O 0.9154 0.3643 0.5876
79 O 0.9489 0.6722 0.0846
80 O 0.9489 0.7766 0.8643

Theoretical density in Mg/m³: 5.7
SG: Ia-3d
Density of states at the Fermi level in states/eV per cell: 0.00
V in Å³/cell: 1053.6
ΔE_f (raw) in eV per atom: -2.039

=====

A geometry-optimized Sc9InO3 structure. Source: the Alexandria database, functional PBE-GGA.

abc: 8.2977 8.2977 4.4451
angles: 90.00 90.00 120.00
Element x y z (fractional)
1 Sc 0.0000 0.5000 0.0000
2 Sc 0.2087 0.4174 0.5000
3 Sc 0.2087 0.7913 0.5000
4 Sc 0.4174 0.2087 0.5000
5 Sc 0.5000 0.0000 0.0000
6 Sc 0.5000 0.5000 0.0000
7 Sc 0.5826 0.7913 0.5000
8 Sc 0.7913 0.2087 0.5000
9 Sc 0.7913 0.5826 0.5000
10 In 0.0000 0.0000 0.0000
11 O 0.0000 0.5000 0.5000
12 O 0.5000 0.0000 0.5000
13 O 0.5000 0.5000 0.5000

Theoretical density in Mg/m³: 3.6
SG: P6/mmm
Density of states at the Fermi level in states/eV per cell: 15.34
V in Å³/cell: 265.0
ΔE_f (raw) in eV per atom: -1.010